[1]
# Cs2HoScS4 (PBE, relaxed)
data_Cs2HoScS4
_cell_length_a 3.990
_cell_length_b 3.990
_cell_length_c 15.951
_cell_angle_alpha 90.00
_cell_angle_beta 90.00
_cell_angle_gamma 120.00
_symmetry_space_group_name_H-M 'P 1'
_symmetry_Int_Tables_number 1
loop_
_symmetry_equiv_pos_as_xyz
'x,y,z'
loop_
_atom_site_label
_atom_site_type_symbol
_atom_site_fract_x
_atom_site_fract_y
_atom_site_fract_z
Cs1 Cs 0.333 0.667 0.254
Cs2 Cs 0.667 0.333 0.746
Ho1 Ho 0.000 0.000 0.000
Sc1 Sc 0.000 0.000 0.500
S1 S 0.333 0.667 0.585
S2 S 0.333 0.667 0.907
S3 S 0.667 0.333 0.093
S4 S 0.667 0.333 0.415
# - Mass density: 4.56 g/cm3
# - Crystal system: trigonal
# - E_tot: -5.39 eV/atom
# - SG: P-3m1



[2]
# CsHoSeS (PBE, relaxed)
data_CsHoSeS
_cell_length_a 4.159
_cell_length_b 4.159
_cell_length_c 16.398
_cell_angle_alpha 90.00
_cell_angle_beta 90.00
_cell_angle_gamma 120.00
_symmetry_space_group_name_H-M 'P 1'
_symmetry_Int_Tables_number 1
loop_
_symmetry_equiv_pos_as_xyz
'x,y,z'
loop_
_atom_site_label
_atom_site_type_symbol
_atom_site_fract_x
_atom_site_fract_y
_atom_site_fract_z
Cs1 Cs 0.333 0.667 0.000
Cs2 Cs 0.667 0.333 0.500
Ho1 Ho 0.000 0.000 0.243
Ho2 Ho 0.000 0.000 0.743
Se1 Se 0.333 0.667 0.341
Se2 Se 0.667 0.333 0.841
S1 S 0.333 0.667 0.658
S2 S 0.667 0.333 0.158
# - Mass density: 5.53 g/cm3
# - Crystal system: hexagonal
# - E_tot: -5.03 eV/atom
# - SG: P6_3mc



[3]
# CsHoSeS (PBE, relaxed)
data_CsHoSeS
_cell_length_a 4.160
_cell_length_b 4.160
_cell_length_c 16.387
_cell_angle_alpha 90.00
_cell_angle_beta 90.00
_cell_angle_gamma 120.00
_symmetry_space_group_name_H-M 'P 1'
_symmetry_Int_Tables_number 1
loop_
_symmetry_equiv_pos_as_xyz
'x,y,z'
loop_
_atom_site_label
_atom_site_type_symbol
_atom_site_fract_x
_atom_site_fract_y
_atom_site_fract_z
Cs1 Cs 0.333 0.667 0.243
Cs2 Cs 0.667 0.333 0.757
Ho1 Ho 0.000 0.000 0.000
Ho2 Ho 0.000 0.000 0.500
Se1 Se 0.333 0.667 0.596
Se2 Se 0.667 0.333 0.404
S1 S 0.333 0.667 0.913
S2 S 0.667 0.333 0.087
# - Mass density: 5.53 g/cm3
# - Crystal system: trigonal
# - E_tot: -5.03 eV/atom
# - SG: P-3m1



[4]
# CsHoSeS (PBE, relaxed)
data_CsHoSeS
_cell_length_a 4.158
_cell_length_b 4.158
_cell_length_c 16.404
_cell_angle_alpha 90.00
_cell_angle_beta 90.00
_cell_angle_gamma 120.00
_symmetry_space_group_name_H-M 'P 1'
_symmetry_Int_Tables_number 1
loop_
_symmetry_equiv_pos_as_xyz
'x,y,z'
loop_
_atom_site_label
_atom_site_type_symbol
_atom_site_fract_x
_atom_site_fract_y
_atom_site_fract_z
Cs1 Cs 0.000 0.000 0.000
Cs2 Cs 0.333 0.667 0.500
Ho1 Ho 0.667 0.333 0.243
Ho2 Ho 0.667 0.333 0.757
Se1 Se 0.000 0.000 0.339
Se2 Se 0.000 0.000 0.661
S1 S 0.333 0.667 0.156
S2 S 0.333 0.667 0.844
# - Mass density: 5.53 g/cm3
# - Crystal system: hexagonal
# - E_tot: -5.03 eV/atom
# - SG: P-6m2



[5]
# CsSmHoS3 (PBE, relaxed)
data_CsSmHoS3
_cell_length_a 8.227
_cell_length_b 8.227
_cell_length_c 11.014
_cell_angle_alpha 90.00
_cell_angle_beta 90.00
_cell_angle_gamma 148.50
_symmetry_space_group_name_H-M 'P 1'
_symmetry_Int_Tables_number 1
loop_
_symmetry_equiv_pos_as_xyz
'x,y,z'
loop_
_atom_site_label
_atom_site_type_symbol
_atom_site_fract_x
_atom_site_fract_y
_atom_site_fract_z
Cs1 Cs 0.235 0.765 0.750
Cs2 Cs 0.765 0.235 0.250
Sm1 Sm 0.500 0.500 0.000
Sm2 Sm 0.500 0.500 0.500
Ho1 Ho 0.031 0.969 0.250
Ho2 Ho 0.969 0.031 0.750
S1 S 0.114 0.886 0.050
S2 S 0.114 0.886 0.450
S3 S 0.447 0.553 0.250
S4 S 0.553 0.447 0.750
S5 S 0.886 0.114 0.550
S6 S 0.886 0.114 0.950
# - Mass density: 4.64 g/cm3
# - Crystal system: orthorhombic
# - E_tot: -5.44 eV/atom
# - SG: Cmcm



[6]
# CsSrHoS3 (PBE, relaxed)
data_CsSrHoS3
_cell_length_a 8.247
_cell_length_b 8.247
_cell_length_c 12.094
_cell_angle_alpha 90.00
_cell_angle_beta 90.00
_cell_angle_gamma 148.04
_symmetry_space_group_name_H-M 'P 1'
_symmetry_Int_Tables_number 1
loop_
_symmetry_equiv_pos_as_xyz
'x,y,z'
loop_
_atom_site_label
_atom_site_type_symbol
_atom_site_fract_x
_atom_site_fract_y
_atom_site_fract_z
Cs1 Cs 0.249 0.751 0.750
Cs2 Cs 0.751 0.249 0.250
Sr1 Sr 0.000 0.000 0.000
Sr2 Sr 0.000 0.000 0.500
Ho1 Ho 0.476 0.524 0.250
Ho2 Ho 0.524 0.476 0.750
S1 S 0.062 0.938 0.250
S2 S 0.387 0.613 0.077
S3 S 0.387 0.613 0.423
S4 S 0.613 0.387 0.577
S5 S 0.613 0.387 0.923
S6 S 0.938 0.062 0.750
# - Mass density: 3.67 g/cm3
# - Crystal system: orthorhombic
# - E_tot: -5.02 eV/atom
# - SG: Cmcm



[7]
# CsHoTeS (PBE, relaxed)
data_CsHoTeS
_cell_length_a 4.283
_cell_length_b 4.283
_cell_length_c 17.022
_cell_angle_alpha 90.00
_cell_angle_beta 90.00
_cell_angle_gamma 120.00
_symmetry_space_group_name_H-M 'P 1'
_symmetry_Int_Tables_number 1
loop_
_symmetry_equiv_pos_as_xyz
'x,y,z'
loop_
_atom_site_label
_atom_site_type_symbol
_atom_site_fract_x
_atom_site_fract_y
_atom_site_fract_z
Cs1 Cs 0.333 0.667 0.229
Cs2 Cs 0.667 0.333 0.771
Ho1 Ho 0.000 0.000 0.000
Ho2 Ho 0.000 0.000 0.500
Te1 Te 0.333 0.667 0.605
Te2 Te 0.667 0.333 0.395
S1 S 0.333 0.667 0.919
S2 S 0.667 0.333 0.081
# - Mass density: 5.62 g/cm3
# - Crystal system: trigonal
# - E_tot: -4.74 eV/atom
# - SG: P-3m1



[8]
# CsHoTeS (PBE, relaxed)
data_CsHoTeS
_cell_length_a 4.282
_cell_length_b 4.282
_cell_length_c 17.031
_cell_angle_alpha 90.00
_cell_angle_beta 90.00
_cell_angle_gamma 120.00
_symmetry_space_group_name_H-M 'P 1'
_symmetry_Int_Tables_number 1
loop_
_symmetry_equiv_pos_as_xyz
'x,y,z'
loop_
_atom_site_label
_atom_site_type_symbol
_atom_site_fract_x
_atom_site_fract_y
_atom_site_fract_z
Cs1 Cs 0.333 0.667 0.000
Cs2 Cs 0.667 0.333 0.500
Ho1 Ho 0.000 0.000 0.229
Ho2 Ho 0.000 0.000 0.729
Te1 Te 0.333 0.667 0.336
Te2 Te 0.667 0.333 0.836
S1 S 0.333 0.667 0.651
S2 S 0.667 0.333 0.151
# - Mass density: 5.62 g/cm3
# - Crystal system: hexagonal
# - E_tot: -4.75 eV/atom
# - SG: P6_3mc



[9]
# CsHoTeS (PBE, relaxed)
data_CsHoTeS
_cell_length_a 4.281
_cell_length_b 4.281
_cell_length_c 17.031
_cell_angle_alpha 90.00
_cell_angle_beta 90.00
_cell_angle_gamma 120.00
_symmetry_space_group_name_H-M 'P 1'
_symmetry_Int_Tables_number 1
loop_
_symmetry_equiv_pos_as_xyz
'x,y,z'
loop_
_atom_site_label
_atom_site_type_symbol
_atom_site_fract_x
_atom_site_fract_y
_atom_site_fract_z
Cs1 Cs 0.000 0.000 0.000
Cs2 Cs 0.333 0.667 0.500
Ho1 Ho 0.667 0.333 0.228
Ho2 Ho 0.667 0.333 0.772
Te1 Te 0.000 0.000 0.334
Te2 Te 0.000 0.000 0.666
S1 S 0.333 0.667 0.149
S2 S 0.333 0.667 0.851
# - Mass density: 5.62 g/cm3
# - Crystal system: hexagonal
# - E_tot: -4.75 eV/atom
# - SG: P-6m2



[10]
# Cs2HoTmS4 (PBE, relaxed)
data_Cs2HoTmS4
_cell_length_a 4.061
_cell_length_b 4.061
_cell_length_c 16.047
_cell_angle_alpha 90.00
_cell_angle_beta 90.00
_cell_angle_gamma 120.00
_symmetry_space_group_name_H-M 'P 1'
_symmetry_Int_Tables_number 1
loop_
_symmetry_equiv_pos_as_xyz
'x,y,z'
loop_
_atom_site_label
_atom_site_type_symbol
_atom_site_fract_x
_atom_site_fract_y
_atom_site_fract_z
Cs1 Cs 0.333 0.667 0.250
Cs2 Cs 0.667 0.333 0.750
Ho1 Ho 0.000 0.000 0.000
Tm1 Tm 0.000 0.000 0.500
S1 S 0.333 0.667 0.590
S2 S 0.333 0.667 0.909
S3 S 0.667 0.333 0.091
S4 S 0.667 0.333 0.410
# - Mass density: 5.27 g/cm3
# - Crystal system: trigonal
# - E_tot: -5.24 eV/atom
# - SG: P-3m1



[11]
# Cs2HoSe4 (PBE, relaxed)
data_Cs2HoSe4
_cell_length_a 8.456
_cell_length_b 8.456
_cell_length_c 11.254
_cell_angle_alpha 117.32
_cell_angle_beta 117.32
_cell_angle_gamma 51.11
_symmetry_space_group_name_H-M 'P 1'
_symmetry_Int_Tables_number 1
loop_
_symmetry_equiv_pos_as_xyz
'x,y,z'
loop_
_atom_site_label
_atom_site_type_symbol
_atom_site_fract_x
_atom_site_fract_y
_atom_site_fract_z
Cs1 Cs 0.095 0.095 0.407
Cs2 Cs 0.339 0.339 0.232
Cs3 Cs 0.661 0.661 0.768
Cs4 Cs 0.905 0.905 0.593
Ho1 Ho 0.378 0.378 0.828
Ho2 Ho 0.622 0.622 0.172
Se1 Se 0.173 0.716 0.045
Se2 Se 0.188 0.188 0.781
Se3 Se 0.284 0.827 0.955
Se4 Se 0.372 0.372 0.586
Se5 Se 0.628 0.628 0.414
Se6 Se 0.716 0.173 0.045
Se7 Se 0.812 0.812 0.219
Se8 Se 0.827 0.284 0.955
# - Mass density: 4.60 g/cm3
# - Crystal system: monoclinic
# - E_tot: -3.98 eV/atom
# - SG: C2/m



[12]
# CsSrHoSe3 (PBE, relaxed)
data_CsSrHoSe3
_cell_length_a 8.533
_cell_length_b 8.533
_cell_length_c 12.421
_cell_angle_alpha 90.00
_cell_angle_beta 90.00
_cell_angle_gamma 148.12
_symmetry_space_group_name_H-M 'P 1'
_symmetry_Int_Tables_number 1
loop_
_symmetry_equiv_pos_as_xyz
'x,y,z'
loop_
_atom_site_label
_atom_site_type_symbol
_atom_site_fract_x
_atom_site_fract_y
_atom_site_fract_z
Cs1 Cs 0.248 0.752 0.750
Cs2 Cs 0.752 0.248 0.250
Sr1 Sr 0.500 0.500 0.000
Sr2 Sr 0.500 0.500 0.500
Ho1 Ho 0.028 0.972 0.250
Ho2 Ho 0.972 0.028 0.750
Se1 Se 0.118 0.882 0.072
Se2 Se 0.118 0.882 0.428
Se3 Se 0.438 0.562 0.250
Se4 Se 0.562 0.438 0.750
Se5 Se 0.882 0.118 0.572
Se6 Se 0.882 0.118 0.928
# - Mass density: 4.33 g/cm3
# - Crystal system: orthorhombic
# - E_tot: -4.62 eV/atom
# - SG: Cmcm